A plane-wave DFT calculation with PBE was carried out for an optimized crystal structure of KSr3Ge.

## Properties
As for the energy above the most stable polymorph in this dataset: 1166.0 meV per atom. As for the total moment: 0.6 μB per formula unit. Its density of states at the Fermi level is 9.73 states/eV/cell. For the energy of formation from the pure elements, the calculation gives 4.84 eV per formula unit. The calculation puts the total DFT energy (no corrections) at -1.18 eV/atom.

```
data_KSr3Ge
_cell_length_a 6.4534
_cell_length_b 6.4534
_cell_length_c 6.4534
_cell_angle_alpha 90.00
_cell_angle_beta 90.00
_cell_angle_gamma 90.00
_space_group_name_H-M_alt 'P m -3 m'
_space_group_IT_number 221
_space_group_name_Hall '-P 4 2 3'
loop_
_atom_site_label
_atom_site_fract_x
_atom_site_fract_y
_atom_site_fract_z
K1 0.0000 0.0000 0.0000
Sr1 0.0000 0.0000 0.5000
Ge1 0.5000 0.5000 0.5000
```

A plane-wave DFT calculation with PBE was carried out for an optimized crystal structure of KSrGe3.

## Properties
As for the energy above the most stable polymorph in this dataset: 0.0 meV per atom. As for the total moment: 0.8 μB per formula unit. Its density of states at the Fermi level is 6.74 states/eV/cell. For the energy of formation from the pure elements, the calculation gives 3.55 eV per formula unit. The calculation puts the total DFT energy (no corrections) at -2.62 eV/atom.

```
data_KSrGe3
_cell_length_a 5.8144
_cell_length_b 5.8144
_cell_length_c 5.8144
_cell_angle_alpha 90.00
_cell_angle_beta 90.00
_cell_angle_gamma 90.00
_space_group_name_H-M_alt 'P m -3 m'
_space_group_IT_number 221
_space_group_name_Hall '-P 4 2 3'
loop_
_atom_site_label
_atom_site_fract_x
_atom_site_fract_y
_atom_site_fract_z
K1 0.0000 0.0000 0.0000
Sr1 0.5000 0.5000 0.5000
Ge1 0.0000 0.5000 0.5000
```

A plane-wave DFT calculation with PBE was carried out for an optimized crystal structure of K2SrGe.

## Properties
As for the total moment: 0.0 μB per formula unit. Its density of states at the Fermi level is 18.77 states/eV/cell. For the energy of formation from the pure elements, the calculation gives 0.58 eV per formula unit. The calculation puts the total DFT energy (no corrections) at -1.98 eV/atom.

```
data_K2SrGe
_cell_length_a 4.9189
_cell_length_b 4.9189
_cell_length_c 26.4726
_cell_angle_alpha 90.00
_cell_angle_beta 90.00
_cell_angle_gamma 90.00
_space_group_name_H-M_alt 'I -4 2 d'
_space_group_IT_number 122
_space_group_name_Hall 'I -4 2bw'
loop_
_atom_site_label
_atom_site_fract_x
_atom_site_fract_y
_atom_site_fract_z
K1 0.2202 0.2500 0.1250
Sr1 0.0000 0.0000 0.5000
Ge1 0.0000 0.0000 0.0000
```

A plane-wave DFT calculation with PBE was carried out for an optimized crystal structure of KSrGe3.

## Properties
As for the energy above the most stable polymorph in this dataset: 120.5 meV per atom. As for the total moment: 0.0 μB per formula unit. Its density of states at the Fermi level is 4.26 states/eV/cell. For the energy of formation from the pure elements, the calculation gives 4.15 eV per formula unit. The calculation puts the total DFT energy (no corrections) at -2.50 eV/atom.

```
data_KSrGe3
_cell_length_a 5.4994
_cell_length_b 5.4994
_cell_length_c 5.4994
_cell_angle_alpha 90.00
_cell_angle_beta 90.00
_cell_angle_gamma 90.00
_space_group_name_H-M_alt 'P m -3 m'
_space_group_IT_number 221
_space_group_name_Hall '-P 4 2 3'
loop_
_atom_site_label
_atom_site_fract_x
_atom_site_fract_y
_atom_site_fract_z
K1 0.0000 0.0000 0.0000
Sr1 0.5000 0.5000 0.5000
Ge1 0.0000 0.0000 0.5000
```

A plane-wave DFT calculation with PBE was carried out for an optimized crystal structure of KSrGe2.

## Properties
As for the energy above the most stable polymorph in this dataset: 252.2 meV per atom. As for the total moment: 0.0 μB per formula unit. Its density of states at the Fermi level is 18.92 states/eV/cell. For the energy of formation from the pure elements, the calculation gives 0.90 eV per formula unit. The calculation puts the total DFT energy (no corrections) at -2.78 eV/atom.

```
data_KSrGe2
_cell_length_a 8.9517
_cell_length_b 8.9517
_cell_length_c 6.0592
_cell_angle_alpha 90.00
_cell_angle_beta 90.00
_cell_angle_gamma 90.00
_space_group_name_H-M_alt 'I -4 2 d'
_space_group_IT_number 122
_space_group_name_Hall 'I -4 2bw'
loop_
_atom_site_label
_atom_site_fract_x
_atom_site_fract_y
_atom_site_fract_z
K1 0.0000 0.0000 0.0000
Sr1 0.0000 0.0000 0.5000
Ge1 0.2438 0.2500 0.6250
```

A plane-wave DFT calculation with PBE was carried out for an optimized crystal structure of KSr3Ge.

## Properties
As for the energy above the most stable polymorph in this dataset: 0.0 meV per atom. As for the total moment: 0.0 μB per formula unit. Its density of states at the Fermi level is 5.47 states/eV/cell. For the energy of formation from the pure elements, the calculation gives -0.99 eV per formula unit. The calculation puts the total DFT energy (no corrections) at -2.35 eV/atom.

```
data_KSr3Ge
_cell_length_a 6.3122
_cell_length_b 6.3122
_cell_length_c 6.3122
_cell_angle_alpha 90.00
_cell_angle_beta 90.00
_cell_angle_gamma 90.00
_space_group_name_H-M_alt 'P m -3 m'
_space_group_IT_number 221
_space_group_name_Hall '-P 4 2 3'
loop_
_atom_site_label
_atom_site_fract_x
_atom_site_fract_y
_atom_site_fract_z
K1 0.0000 0.0000 0.0000
Sr1 0.0000 0.5000 0.5000
Ge1 0.5000 0.5000 0.5000
```

A plane-wave DFT calculation with PBE was carried out for an optimized crystal structure of K3SrGe.

## Properties
As for the energy above the most stable polymorph in this dataset: 0.0 meV per atom. As for the total moment: 1.0 μB per formula unit. Its density of states at the Fermi level is 2.41 states/eV/cell. For the energy of formation from the pure elements, the calculation gives 1.31 eV per formula unit. The calculation puts the total DFT energy (no corrections) at -1.66 eV/atom.

```
data_K3SrGe
_cell_length_a 6.6398
_cell_length_b 6.6398
_cell_length_c 6.6398
_cell_angle_alpha 90.00
_cell_angle_beta 90.00
_cell_angle_gamma 90.00
_space_group_name_H-M_alt 'P m -3 m'
_space_group_IT_number 221
_space_group_name_Hall '-P 4 2 3'
loop_
_atom_site_label
_atom_site_fract_x
_atom_site_fract_y
_atom_site_fract_z
K1 0.0000 0.0000 0.5000
Sr1 0.5000 0.5000 0.5000
Ge1 0.0000 0.0000 0.0000
```

A plane-wave DFT calculation with PBE was carried out for an optimized crystal structure of KSrGe2.

## Properties
As for the energy above the most stable polymorph in this dataset: 0.0 meV per atom. As for the total moment: 0.0 μB per formula unit. Its density of states at the Fermi level is 10.21 states/eV/cell. For the energy of formation from the pure elements, the calculation gives -0.10 eV per formula unit. The calculation puts the total DFT energy (no corrections) at -3.03 eV/atom.

```
data_KSrGe2
_cell_length_a 7.7637
_cell_length_b 7.7637
_cell_length_c 7.7637
_cell_angle_alpha 90.00
_cell_angle_beta 90.00
_cell_angle_gamma 90.00
_space_group_name_H-M_alt 'F m -3 m'
_space_group_IT_number 225
_space_group_name_Hall '-F 4 2 3'
loop_
_atom_site_label
_atom_site_fract_x
_atom_site_fract_y
_atom_site_fract_z
K1 0.0000 0.0000 0.0000
Sr1 0.0000 0.0000 0.5000
Ge1 0.2500 0.2500 0.2500
```

A plane-wave DFT calculation with PBE was carried out for an optimized crystal structure of KSrGe.

## Properties
As for the total moment: 0.0 μB per formula unit. Its density of states at the Fermi level is 3.11 states/eV/cell. For the energy of formation from the pure elements, the calculation gives -0.54 eV per formula unit. The calculation puts the total DFT energy (no corrections) at -2.65 eV/atom.

```
data_KSrGe
_cell_length_a 5.7722
_cell_length_b 6.6159
_cell_length_c 6.6166
_cell_angle_alpha 111.21
_cell_angle_beta 90.15
_cell_angle_gamma 90.14
_space_group_name_H-M_alt 'P 1'
_space_group_IT_number 1
loop_
_space_group_symop_operation_xyz
'x,y,z'
loop_
_atom_site_label
_atom_site_fract_x
_atom_site_fract_y
_atom_site_fract_z
K1 0.0000 0.0000 0.0000
K2 0.4997 0.1935 0.8060
Sr1 0.0004 0.4639 0.5358
Sr2 0.5005 0.7513 0.2483
Ge1 0.4994 0.2931 0.3410
Ge2 0.5019 0.6586 0.7063
```

A plane-wave DFT calculation with PBE was carried out for an optimized crystal structure of KSr2Zn2Ge2.

## Properties
As for the total moment: 0.7 μB per formula unit. Its density of states at the Fermi level is 10.72 states/eV/cell. For the energy of formation from the pure elements, the calculation gives -2.00 eV per formula unit. The calculation puts the total DFT energy (no corrections) at -2.61 eV/atom.

```
data_KSr2Zn2Ge2
_cell_length_a 4.4139
_cell_length_b 4.4139
_cell_length_c 39.4007
_cell_angle_alpha 90.00
_cell_angle_beta 90.00
_cell_angle_gamma 120.00
_space_group_name_H-M_alt 'R -3 m'
_space_group_IT_number 166
_space_group_name_Hall '-R 3 2"'
loop_
_atom_site_label
_atom_site_fract_x
_atom_site_fract_y
_atom_site_fract_z
K1 0.0000 0.0000 0.0000
Sr1 0.0000 0.0000 0.1175
Zn1 0.0000 0.0000 0.3979
Ge1 0.0000 0.0000 0.2653
```

A plane-wave DFT calculation with PBE was carried out for an optimized crystal structure of K3TaGe.

## Properties
As for the total moment: 7.5 μB per formula unit. Its density of states at the Fermi level is 6.41 states/eV/cell. For the energy of formation from the pure elements, the calculation gives 8.45 eV per formula unit. The calculation puts the total DFT energy (no corrections) at -2.26 eV/atom.

```
data_K3TaGe
_cell_length_a 6.6472
_cell_length_b 6.6472
_cell_length_c 6.6472
_cell_angle_alpha 90.00
_cell_angle_beta 90.00
_cell_angle_gamma 90.00
_space_group_name_H-M_alt 'P m -3 m'
_space_group_IT_number 221
_space_group_name_Hall '-P 4 2 3'
loop_
_atom_site_label
_atom_site_fract_x
_atom_site_fract_y
_atom_site_fract_z
K1 0.0000 0.0000 0.5000
Ta1 0.0000 0.0000 0.0000
Ge1 0.5000 0.5000 0.5000
```

A plane-wave DFT calculation with PBE was carried out for an optimized crystal structure of K2TaTiGe.

## Properties
As for the total moment: 0.8 μB per formula unit. Its density of states at the Fermi level is 6.21 states/eV/cell. For the energy of formation from the pure elements, the calculation gives 8.12 eV per formula unit. The calculation puts the total DFT energy (no corrections) at -3.69 eV/atom.

```
data_K2TaTiGe
_cell_length_a 6.1717
_cell_length_b 6.1717
_cell_length_c 4.6595
_cell_angle_alpha 90.00
_cell_angle_beta 90.00
_cell_angle_gamma 90.00
_space_group_name_H-M_alt 'P 4/m m m'
_space_group_IT_number 123
_space_group_name_Hall '-P 4 2'
loop_
_atom_site_label
_atom_site_fract_x
_atom_site_fract_y
_atom_site_fract_z
K1 0.0000 0.5000 0.0000
Ta1 0.0000 0.0000 0.5000
Ti1 0.0000 0.0000 0.0000
Ge1 0.5000 0.5000 0.5000
```

Please write out number 3 again, unchanged.
A plane-wave DFT calculation with PBE was carried out for an optimized crystal structure of K2SrGe.

## Properties
As for the total moment: 0.0 μB per formula unit. Its density of states at the Fermi level is 18.77 states/eV/cell. For the energy of formation from the pure elements, the calculation gives 0.58 eV per formula unit. The calculation puts the total DFT energy (no corrections) at -1.98 eV/atom.

```
data_K2SrGe
_cell_length_a 4.9189
_cell_length_b 4.9189
_cell_length_c 26.4726
_cell_angle_alpha 90.00
_cell_angle_beta 90.00
_cell_angle_gamma 90.00
_space_group_name_H-M_alt 'I -4 2 d'
_space_group_IT_number 122
_space_group_name_Hall 'I -4 2bw'
loop_
_atom_site_label
_atom_site_fract_x
_atom_site_fract_y
_atom_site_fract_z
K1 0.2202 0.2500 0.1250
Sr1 0.0000 0.0000 0.5000
Ge1 0.0000 0.0000 0.0000
```

Please write out number 4 again, unchanged.
A plane-wave DFT calculation with PBE was carried out for an optimized crystal structure of KSrGe3.

## Properties
As for the energy above the most stable polymorph in this dataset: 120.5 meV per atom. As for the total moment: 0.0 μB per formula unit. Its density of states at the Fermi level is 4.26 states/eV/cell. For the energy of formation from the pure elements, the calculation gives 4.15 eV per formula unit. The calculation puts the total DFT energy (no corrections) at -2.50 eV/atom.

```
data_KSrGe3
_cell_length_a 5.4994
_cell_length_b 5.4994
_cell_length_c 5.4994
_cell_angle_alpha 90.00
_cell_angle_beta 90.00
_cell_angle_gamma 90.00
_space_group_name_H-M_alt 'P m -3 m'
_space_group_IT_number 221
_space_group_name_Hall '-P 4 2 3'
loop_
_atom_site_label
_atom_site_fract_x
_atom_site_fract_y
_atom_site_fract_z
K1 0.0000 0.0000 0.0000
Sr1 0.5000 0.5000 0.5000
Ge1 0.0000 0.0000 0.5000
```

> Among the records above, which one has the highest energy of formation from the pure elements?

K3TaGe

> Among the records above, which one has the highest energy of formation from the pure elements?

K3TaGe